## BaNb2Ir (PBE)

Data for an optimized crystal structure of BaNb2Ir.

Geometry as POSCAR:
```
BaNb2Ir
1.0
0.000 3.399 3.399
3.399 0.000 3.399
3.399 3.399 0.000
Nb Ir Ba
2 1 1
direct
0.250 0.250 0.250 Nb
0.750 0.750 0.750 Nb
0.500 0.500 0.500 Ir
0.000 0.000 0.000 Ba
```

Summary:
Offset from the most stable computed form in kJ/mol of atoms: 0.00
Symmetry: No. 225
Total magnetization in μB/f.u.: 0.0
Energy relative to the elements in eV per atom: 0.65